1.
Material: RbTeRhO6
Method: DFT, PBE
State: optimized geometry

a b c (Å): 5.2792 5.2792 6.4437
angles (deg): 90.00 90.00 120.00
Space group P312 (No. 149)
Asymmetric unit:
1 Rb 0.0000 0.0000 0.0000 [1 per cell]
2 Te 0.6667 0.3333 0.5000 [1 per cell]
3 Rh 0.3333 0.6667 0.5000 [1 per cell]
4 O 0.3872 0.0018 0.6735 [6 per cell]

2.
Material: RbV2I8
Method: DFT, PBE
State: optimized geometry

a b c (Å): 15.9453 11.6559 7.5543
angles (deg): 90.00 107.03 90.00
Space group C2/m (No. 12)
Asymmetric unit:
1 Rb 0.0000 0.0000 0.0000 [2 per cell]
2 V 0.2096 0.0000 0.6957 [4 per cell]
3 I 0.1273 0.1791 0.7485 [8 per cell]
4 I 0.1379 0.5000 0.0767 [4 per cell]
5 I 0.2215 0.0000 0.3655 [4 per cell]

3.
Material: Mg3TiCr
Method: DFT, PBE
State: optimized geometry

a b c (Å): 5.2993 5.2993 5.2993
angles (deg): 90.00 90.00 90.00
Space group Pm-3m (No. 221)
Asymmetric unit:
1 Mg 0.0000 0.0000 0.5000 [3 per cell]
2 Ti 0.0000 0.0000 0.0000 [1 per cell]
3 Cr 0.5000 0.5000 0.5000 [1 per cell]

Properties
Distance to the lowest polymorph of the same formula, eV/atom: 0.3434

4.
Material: Ta2TiPd7
Method: DFT, PBE
State: optimized geometry

a b c (Å): 7.1516 13.4993 4.0871
angles (deg): 90.00 90.00 90.00
Space group Cmmm (No. 65)
Asymmetric unit:
1 Ta 0.0000 0.1947 0.0000 [4 per cell]
2 Ti 0.0000 0.5000 0.5000 [2 per cell]
3 Pd 0.0000 0.0000 0.0000 [2 per cell]
4 Pd 0.0000 0.2988 0.5000 [4 per cell]
5 Pd 0.1854 0.3969 0.0000 [8 per cell]

5.
Material: Hg2SbAu2
Method: DFT, PBE
State: optimized geometry

a b c (Å): 3.8876 3.8876 15.7674
angles (deg): 90.00 90.00 90.00
Space group I4/mmm (No. 139)
Asymmetric unit:
1 Hg 0.0000 0.0000 0.1056 [4 per cell]
2 Sb 0.0000 0.0000 0.5000 [2 per cell]
3 Au 0.0000 0.5000 0.2500 [4 per cell]

Properties
Distance to the lowest polymorph of the same formula, eV/atom: 0.1525

6.
Material: LaErLuZr
Method: DFT, PBE
State: optimized geometry

a b c (Å): 7.7776 7.7776 7.7776
angles (deg): 90.00 90.00 90.00
Space group F-43m (No. 216)
Asymmetric unit:
1 La 0.0000 0.0000 0.0000 [4 per cell]
2 Er 0.2500 0.2500 0.2500 [4 per cell]
3 Lu 0.2500 0.2500 0.7500 [4 per cell]
4 Zr 0.0000 0.0000 0.5000 [4 per cell]

Values for total energy, eV per atom, ordered as above
-5.58 -3.46 -3.12 -6.62 -2.09 -5.45